No. 1
## Sc2HSeCl (PBE)

Data for a geometry-optimized Sc2HSeCl structure.

Lattice parameters (Å, degrees): 4.7976 5.1478 4.7976 90.00 90.00 90.00
With the nearest neighbours (Å) after each atom.
Atoms (fractional coordinates):
H  0.5000  0.5000  0.5000  4 Se 3.39, 8 Sc 3.52
Sc  0.5000  0.0000  0.0000  2 Cl 2.40
Se  0.0000  0.5000  0.0000  2 Cl 2.57
Sc  0.0000  0.0000  0.5000  2 Cl 2.40
Cl  0.0000  0.0000  0.0000  4 Sc 2.40, 2 Se 2.57

No. 2
## ScTcH2Cl (PBE)

Data for a geometry-optimized ScTcH2Cl structure.

Lattice parameters (Å, degrees): 3.7132 5.5624 3.7132 90.00 90.00 90.00
With the nearest neighbours (Å) after each atom.
Atoms (fractional coordinates):
Sc  0.0000  0.0000  0.0000  4 H 1.86
H  0.5000  0.0000  0.0000  2 Sc 1.86
Tc  0.0000  0.5000  0.0000  4 Cl 2.63, 2 Sc 2.78
Cl  0.5000  0.5000  0.5000  4 Tc 2.63
H  0.0000  0.0000  0.5000  2 Sc 1.86

No. 3
## ZrScH2Cl (PBE)

Data for a geometry-optimized ZrScH2Cl structure.

Lattice parameters (Å, degrees): 3.7508 6.2013 3.7508 90.00 90.00 90.00
With the nearest neighbours (Å) after each atom.
Atoms (fractional coordinates):
H  0.0000  0.0000  0.5000  2 Sc 1.88
Zr  0.0000  0.5000  0.0000  4 Cl 2.65
H  0.5000  0.0000  0.0000  2 Sc 1.88
Sc  0.0000  0.0000  0.0000  4 H 1.88
Cl  0.5000  0.5000  0.5000  4 Zr 2.65

No. 4
## HSe2Cl (PBE)

Data for a geometry-optimized HSe2Cl structure.

Lattice parameters (Å, degrees): 4.6078 4.6078 4.6078 60.00 60.00 60.00
With the nearest neighbours (Å) after each atom.
Atoms (fractional coordinates):
H  0.0000  0.0000  0.0000  8 Se 2.82
Se  0.7500  0.7500  0.7500  4 Cl 2.82, 4 H 2.82
Se  0.2500  0.2500  0.2500  4 Cl 2.82, 4 H 2.82
Cl  0.5000  0.5000  0.5000  8 Se 2.82

No. 5
## H4SeCl2 (PBE)

Data for a geometry-optimized H4SeCl2 structure.

Lattice parameters (Å, degrees): 5.6643 5.6643 6.0412 125.92 105.05 95.59
With the nearest neighbours (Å) after each atom.
Atoms (fractional coordinates):
H  0.7687  0.9315  0.7002  1 Se 1.49
Cl  0.6468  0.1605  0.3990  1 H 1.56
Se  0.9780  0.9344  0.9125  3 H 1.49-1.55
H  0.1081  0.2841  0.1037  1 Se 1.55
H  0.4404  0.9416  0.3820  2 Cl 1.56
Cl  0.2385  0.7522  0.3990  1 H 1.56
H  0.8195  0.9956  0.1037  1 Se 1.55

No. 6
## HSe2Cl (PBE)

Data for a geometry-optimized HSe2Cl structure.

Lattice parameters (Å, degrees): 7.3000 7.3000 7.3000 28.49 28.49 28.49
With the nearest neighbours (Å) after each atom.
Atoms (fractional coordinates):
Se  0.1184  0.1184  0.1184  3 H 2.31, 1 Cl 2.49
H  0.5000  0.5000  0.5000  6 Se 2.31
Cl  0.0000  0.0000  0.0000  2 Se 2.49
Se  0.8816  0.8816  0.8816  3 H 2.31, 1 Cl 2.49

No. 7
## HSeCl3 (PBE)

Data for a geometry-optimized HSeCl3 structure.

Lattice parameters (Å, degrees): 4.9962 4.9962 4.9962 90.00 90.00 90.00
With the nearest neighbours (Å) after each atom.
Atoms (fractional coordinates):
H  0.5000  0.5000  0.5000  12 Cl 3.53
Cl  0.0000  0.5000  0.0000  2 Se 2.50
Cl  0.0000  0.0000  0.5000  2 Se 2.50
Se  0.0000  0.0000  0.0000  6 Cl 2.50
Cl  0.5000  0.0000  0.0000  2 Se 2.50

No. 8
## HSe2Cl (PBE)

Data for a geometry-optimized HSe2Cl structure.

Lattice parameters (Å, degrees): 5.4235 5.4235 6.5327 65.47 65.47 90.00
With the nearest neighbours (Å) after each atom.
Atoms (fractional coordinates):
H  0.2500  0.7500  0.5000  4 Se 1.97
Cl  0.0000  0.0000  0.0000  4 Se 2.89
Cl  0.7500  0.2500  0.5000  4 Se 2.89
Se  0.4718  0.1250  0.2500  2 H 1.97
Se  0.3750  0.5282  0.7500  2 H 1.97
Se  0.2782  0.6250  0.2500  2 H 1.97
Se  0.8750  0.7218  0.7500  2 H 1.97
H  0.5000  0.5000  0.0000  4 Se 1.97

Number 1: DFT total energy -3.918 eV per atom. Number 2: DFT total energy -4.738 eV per atom. Number 3: DFT total energy -4.774 eV per atom. Number 4: DFT total energy -1.917 eV per atom. Number 5: DFT total energy -3.213 eV per atom. Number 6: DFT total energy -2.436 eV per atom. Number 7: DFT total energy -2.139 eV per atom. Number 8: DFT total energy -2.463 eV per atom.